Below is SbTe2IrPd after structural relaxation, with properties calculated at the PBE level.

The calculation puts the total magnetization at 0.003 μB per cell. The energy relative to the elements, uncorrected comes out at 1271 meV/atom. The energy above the most stable polymorph in this dataset is 56.96 kJ/mol of atoms. For the calculated total energy, the calculation gives -3.621 eV per atom. The density of states at the Fermi level comes out at 8.48 states/eV/f.u.

It has space group P4/mmm (No. 123), with a = 5.699 Å, b = 5.699 Å, c = 4.867 Å, α = 90.00°, β = 90.00° and γ = 90.00°. The distinct sites, in fractional coordinates, are Sb at (0.000, 0.000, 0.000), Te at (0.000, 0.500, 0.000), Ir at (0.000, 0.000, 0.500) and Pd at (0.500, 0.500, 0.500).